ThPaMn2O8 PBE+U optimized geometry; uncorrected energy = -101.74 eV/cell
1.0
-2.646 2.646 5.592
2.646 -2.646 5.592
2.646 2.646 -5.592
Th Pa Mn O
1 1 2 8
Direct
0.000 0.000 0.000
0.250 0.750 0.500
0.500 0.500 0.000
0.750 0.250 0.500
0.265 0.695 0.111
0.305 0.416 0.570
0.398 0.003 0.040
0.584 0.154 0.889
0.642 0.602 0.605
0.846 0.735 0.430
0.964 0.358 0.960
0.997 0.036 0.395